{"formula": "PrAgAs2", "functional": "PBE", "state": "optimized geometry", "lattice": [[21.353, 0.000, 0.000], [0.000, 4.087, 0.000], [0.000, 0.000, 4.121]], "species": ["Pr", "Pr", "Pr", "Pr", "Ag", "Ag", "Ag", "Ag", "As", "As", "As", "As", "As", "As", "As", "As"], "frac_coords": [[0.116, 0.250, 0.226], [0.384, 0.750, 0.726], [0.616, 0.250, 0.274], [0.884, 0.750, 0.774], [0.250, 0.250, 0.724], [0.250, 0.750, 0.224], [0.750, 0.250, 0.776], [0.750, 0.750, 0.276], [0.002, 0.250, 0.702], [0.162, 0.750, 0.725], [0.338, 0.250, 0.225], [0.498, 0.750, 0.202], [0.502, 0.250, 0.798], [0.662, 0.750, 0.775], [0.838, 0.250, 0.275], [0.998, 0.750, 0.298]], "e_form_kcal_per_mol_atoms": -17.81}